No. 1
12
Lattice="3.486 0.000 0.000 0.000 9.140 0.000 0.000 0.000 8.278" Properties=species:S:1:pos:R:3 comment="PmSc3Cu2, relaxed, DFT PBE-GGA" m_tot_mub_per_atom=0.130 crystal_system=orthorhombic dft_energy_ha_per_atom=-0.1995 delta_e_f_ev_per_fu=-0.6 pbc="T T T"
Pm 0.000 0.778 0.000
Pm 0.000 8.362 4.139
Sc 0.000 2.769 5.311
Sc 0.000 6.371 1.172
Sc 1.743 2.000 2.707
Sc 1.743 3.918 8.046
Sc 1.743 5.222 3.906
Sc 1.743 7.140 6.846
Cu 0.000 3.875 2.124
Cu 0.000 5.265 6.263
Cu 1.743 0.823 5.894
Cu 1.743 8.317 1.755



No. 2
12
Lattice="2.922 0.000 0.000 -1.461 2.530 0.000 0.000 0.000 18.267" Properties=species:S:1:pos:R:3 comment="GeRhN2, relaxed, DFT PBE-GGA" m_tot_mub_per_atom=0.000 crystal_system=trigonal formation_energy_uncorrected_ev_per_atom=0.446 dft_energy_ha_per_atom=-0.2466 pbc="T T T"
Ge 0.000 0.000 0.000
Ge 0.000 1.687 12.178
Ge 1.461 0.843 6.089
Rh 0.000 0.000 9.133
Rh 0.000 1.687 3.044
Rh 1.461 0.843 15.222
N 0.000 0.000 7.182
N 0.000 0.000 11.085
N 0.000 1.687 1.093
N 0.000 1.687 4.996
N 1.461 0.843 13.271
N 1.461 0.843 17.174



No. 3
4
Lattice="3.134 0.000 0.000 0.000 4.110 0.000 0.000 0.000 4.191" Properties=species:S:1:pos:R:3 comment="Fe2AsW, relaxed, DFT PBE-GGA" m_tot_mub_per_atom=1.000 crystal_system=orthorhombic dft_energy_ha_per_atom=-0.3092 delta_e_f_ev_per_fu=0.9 pbc="T T T"
Fe 0.000 0.000 0.000
Fe 1.567 2.055 0.000
As 0.000 2.055 2.096
W 1.567 0.000 2.096



No. 4
12
Lattice="8.483 0.000 0.000 0.000 4.264 0.000 -1.641 0.000 9.414" Properties=species:S:1:pos:R:3 comment="AgTeSe, relaxed, DFT PBE-GGA" polymorph_energy_ev_per_atom=0.037 m_tot_mub_per_atom=0.000 crystal_system=monoclinic formation_energy_uncorrected_ev_per_atom=0.014 dft_energy_ha_per_atom=-0.1156 pbc="T T T"
Ag 0.000 0.000 0.000
Ag -1.164 2.132 7.447
Ag 4.242 2.132 0.000
Ag 3.078 0.000 7.447
Te 1.524 2.132 0.906
Te 0.986 0.000 4.810
Te 5.766 0.000 0.906
Te 5.227 2.132 4.810
Se 0.135 2.132 3.193
Se 1.428 2.132 6.881
Se 4.377 0.000 3.193
Se 5.670 0.000 6.881